The following is a GGA-PBEsol calculation of a relaxed structure of LiMg, from Alexandria.

abc: 3.003 4.894 5.894
angles: 90.00 104.76 90.00
Sites, in units of the cell vectors:
Mg 0.575 0.750 0.149
Mg 0.425 0.250 0.851
Li 0.828 0.750 0.656
Li 0.172 0.250 0.344

For the formation energy, the calculation gives 0.00 eV/atom. As for the total moment: 0.000 μB/atom. As for the crystal system: orthorhombic.